## LaTeP2 (PBE-GGA)

Data for a relaxed structure of LaTeP2.

a b c (Å): 6.846 6.846 6.846
angles (deg): 36.55 36.55 36.55
Sites, in units of the cell vectors:
La 0.000 0.000 0.000
Te 0.500 0.500 0.500
P 0.247 0.247 0.247
P 0.753 0.753 0.753

Calculated values
E_form (uncorrected): -362.9 meV/atom
Space-group type: No. 166
DFT total energy: -5.09 eV/atom

***

## Nd4DyIn (PBE-GGA)

Data for a relaxed structure of Nd4DyIn.

a b c (Å): 3.652 3.652 14.732
angles (deg): 90.00 90.00 90.00
Sites, in units of the cell vectors:
Nd 0.000 0.000 0.147
Nd 0.000 0.000 0.853
Nd 0.500 0.500 0.327
Nd 0.500 0.500 0.673
Dy 0.000 0.000 0.500
In 0.500 0.500 0.000

Calculated values
ΔH_f (0 K): -0.14 eV per atom
Space-group type: No. 123
DFT total energy: -4.54 eV/atom
Polymorph energy (0 for the lowest one): 0.00 eV per formula unit

***

## Ga4PdI2 (PBE-GGA)

Data for a relaxed structure of Ga4PdI2.

a b c (Å): 9.126 9.126 9.126
angles (deg): 148.60 148.60 44.99
Sites, in units of the cell vectors:
Ga 0.000 0.500 0.500
Ga 0.151 0.151 0.000
Ga 0.500 0.000 0.500
Ga 0.849 0.849 0.000
Pd 0.000 0.000 0.000
I 0.342 0.342 0.000
I 0.658 0.658 0.000

Calculated values
E_form (uncorrected): -255.0 meV/atom
Space-group type: No. 139
DFT total energy: -3.17 eV/atom

***

## MgZn2Ag2 (PBE-GGA)

Data for a relaxed structure of MgZn2Ag2.

a b c (Å): 7.407 7.407 3.149
angles (deg): 90.00 90.00 90.00
Sites, in units of the cell vectors:
Mg 0.000 0.000 0.000
Mg 0.500 0.500 0.000
Zn 0.123 0.377 0.000
Zn 0.377 0.877 0.000
Zn 0.623 0.123 0.000
Zn 0.877 0.623 0.000
Ag 0.175 0.675 0.500
Ag 0.325 0.175 0.500
Ag 0.675 0.825 0.500
Ag 0.825 0.325 0.500

Calculated values
ΔH_f (0 K): -0.09 eV per atom
Space-group type: No. 127
DFT total energy: -2.06 eV/atom
Polymorph energy (0 for the lowest one): 0.08 eV per formula unit

***

## FePBr2 (PBE-GGA)

Data for a relaxed structure of FePBr2.

a b c (Å): 7.364 7.364 7.364
angles (deg): 153.23 139.25 49.43
Sites, in units of the cell vectors:
Fe 0.000 0.000 0.000
P 0.114 0.614 0.500
Br 0.568 0.568 0.000
Br 0.865 0.365 0.500

Calculated values
E_form (uncorrected): 69.2 meV/atom
Space-group type: No. 44
DFT total energy: -4.24 eV/atom
Polymorph energy (0 for the lowest one): 0.47 eV per formula unit

***

## H2OsN (PBE-GGA)

Data for a relaxed structure of H2OsN.

a b c (Å): 4.658 3.292 3.292
angles (deg): 60.18 90.00 90.00
Sites, in units of the cell vectors:
H 0.105 0.000 0.000
H 0.895 0.000 0.000
Os 0.500 0.001 0.001
N 0.500 0.667 0.667

Calculated values
Space-group type: No. 38
DFT total energy: -6.13 eV/atom
Polymorph energy (0 for the lowest one): 1.24 eV per formula unit

***

## Y2Si3GePd4 (PBE-GGA)

Data for a relaxed structure of Y2Si3GePd4.

a b c (Å): 4.206 4.206 10.038
angles (deg): 90.00 90.00 90.00
Sites, in units of the cell vectors:
Y 0.000 0.500 0.249
Y 0.500 0.000 0.751
Si 0.000 0.500 0.872
Si 0.500 0.000 0.128
Si 0.500 0.500 0.500
Ge 0.000 0.000 0.500
Pd 0.000 0.000 0.000
Pd 0.000 0.500 0.634
Pd 0.500 0.000 0.366
Pd 0.500 0.500 0.000

Calculated values
E_form (uncorrected): -857.2 meV/atom
Space-group type: No. 115
DFT total energy: -6.32 eV/atom

***

## Ce5Ga4Ag (PBE-GGA)

Data for a relaxed structure of Ce5Ga4Ag.

a b c (Å): 3.241 3.241 21.747
angles (deg): 90.00 90.00 90.00
Sites, in units of the cell vectors:
Ce 0.000 0.000 0.000
Ce 0.000 0.000 0.198
Ce 0.000 0.000 0.395
Ce 0.000 0.000 0.605
Ce 0.000 0.000 0.802
Ga 0.500 0.500 0.099
Ga 0.500 0.500 0.298
Ga 0.500 0.500 0.702
Ga 0.500 0.500 0.901
Ag 0.500 0.500 0.500

Calculated values
ΔH_f (0 K): -0.41 eV per atom
Space-group type: No. 123
DFT total energy: -4.87 eV/atom